No. 1
ZrSi2Cl: relaxed, PBE-GGA.

Cell lengths 3.1255, 3.2733, 8.1729 Å; angles 90.00, 90.00, 90.00 degrees
Last column: nearest neighbours and their distance in Å.
Positions (direct):
Zr (0.0000, 0.0000, 0.0000)  4 Cl 2.80, 5 Si 2.89-2.93, 2 Zr 3.13
Si (0.0000, 0.0000, 0.3587)  4 Si 2.53
Si (0.5000, 0.5000, 0.2190)  4 Si 2.53
Cl (0.5000, 0.5000, 0.7977)  4 Zr 2.80, 2 Cl 3.13

Computed properties:
symmetry: Pmm2 (25)
N(E_F): 2.0 states/eV per cell
final energy: -22.874 eV per cell
calculated density: 3631 kg/m3
relative energy among the computed polymorphs: 0 meV/atom

No. 2
ZrSi2Cl: relaxed, PBE-GGA.

Cell lengths 6.6315, 6.6315, 6.6315 Å; angles 90.00, 90.00, 90.00 degrees
Last column: nearest neighbours and their distance in Å.
Positions (direct):
Zr (0.0000, 0.0000, 0.0000)  4 Cl 2.87, 4 Si 2.87
Zr (0.0000, 0.5000, 0.5000)  4 Cl 2.87, 4 Si 2.87
Zr (0.5000, 0.0000, 0.5000)  4 Cl 2.87, 4 Si 2.87
Zr (0.5000, 0.5000, 0.0000)  4 Cl 2.87, 4 Si 2.87
Si (0.0000, 0.0000, 0.5000)  4 Cl 2.87, 4 Si 2.87
Si (0.0000, 0.5000, 0.0000)  4 Cl 2.87, 4 Si 2.87
Si (0.2500, 0.2500, 0.2500)  4 Zr 2.87, 4 Si 2.87
Si (0.2500, 0.7500, 0.7500)  4 Zr 2.87, 4 Si 2.87
Si (0.5000, 0.0000, 0.0000)  4 Cl 2.87, 4 Si 2.87
Si (0.5000, 0.5000, 0.5000)  4 Cl 2.87, 4 Si 2.87
Si (0.7500, 0.2500, 0.7500)  4 Zr 2.87, 4 Si 2.87
Si (0.7500, 0.7500, 0.2500)  4 Zr 2.87, 4 Si 2.87
Cl (0.2500, 0.2500, 0.7500)  4 Zr 2.87, 4 Si 2.87
Cl (0.2500, 0.7500, 0.2500)  4 Zr 2.87, 4 Si 2.87
Cl (0.7500, 0.2500, 0.2500)  4 Zr 2.87, 4 Si 2.87
Cl (0.7500, 0.7500, 0.7500)  4 Zr 2.87, 4 Si 2.87

Computed properties:
symmetry: F-43m (216)
N(E_F): 16.4 states/eV per cell
final energy: -82.334 eV per cell
calculated density: 4164 kg/m3
relative energy among the computed polymorphs: 573 meV/atom

No. 3
Zr2SiCl: relaxed, PBE-GGA.

Cell lengths 6.7589, 3.8984, 6.9057 Å; angles 90.00, 109.12, 90.00 degrees
Last column: nearest neighbours and their distance in Å.
Positions (direct):
Zr (0.2314, 0.0000, 0.1930)  3 Si 2.58
Zr (0.2686, 0.5000, 0.8070)  3 Si 2.58
Zr (0.7314, 0.5000, 0.1930)  3 Si 2.58
Zr (0.7686, 0.0000, 0.8070)  3 Si 2.58
Si (0.0000, 0.5000, 0.0000)  6 Zr 2.58
Si (0.5000, 0.0000, 0.0000)  6 Zr 2.58
Cl (0.0000, 0.0000, 0.5000)  6 Zr 3.01-3.02
Cl (0.5000, 0.5000, 0.5000)  6 Zr 3.01-3.02

Computed properties:
symmetry: C2/m (12)
N(E_F): 3.0 states/eV per cell
final energy: -54.517 eV per cell
calculated density: 4752 kg/m3
relative energy among the computed polymorphs: 0 meV/atom